The following is a GGA-PBE calculation of a relaxed Sc2CoAg crystal, from Alexandria via LeMat-Bulk.

Cell and atoms, written as POSCAR:
```
Sc2CoAg
1.0
1.735 1.002 7.524
-1.735 1.002 7.524
0.000 -2.003 7.524
Sc Co Ag
2 1 1
direct
0.233 0.233 0.233
0.767 0.767 0.767
0.500 0.500 0.500
0.000 0.000 0.000
```

The value obtained for the total energy is -22.96 eV/f.u. The volume comes out at 19.6 Å³ per atom. As for the symmetry: R-3m.